# LiHg3Au3 (PBE-GGA, relaxed)
data_LiHg3Au3
_cell_length_a 7.8054
_cell_length_b 7.8054
_cell_length_c 7.8054
_cell_angle_alpha 90.00
_cell_angle_beta 90.00
_cell_angle_gamma 90.00
_symmetry_space_group_name_H-M 'P m -3 n'
_symmetry_Int_Tables_number 223
_symmetry_space_group_name_Hall '-P 4n 2 3'
loop_
_atom_site_label
_atom_site_fract_x
_atom_site_fract_y
_atom_site_fract_z
Li1 0.0000 0.0000 0.0000
Hg1 0.0000 0.2500 0.5000
Au1 0.0000 0.5000 0.2500
# Total magnetic moment: 0.00 μB/f.u.
# DFT formation energy: 1.90 eV per formula unit